{"formula": "Er2TmCu2", "functional": "PBE-GGA", "state": "relaxed", "lattice": [[-0.492, -3.210, -1.706], [4.700, -1.387, 5.198], [-6.919, -1.984, 5.726]], "species": ["Er", "Er", "Er", "Er", "Tm", "Tm", "Cu", "Cu", "Cu", "Cu"], "fractional_positions": [[0.888, 0.776, 0.152], [0.305, 0.611, 0.867], [0.112, 0.224, 0.652], [0.695, 0.389, 0.367], [0.581, 0.163, 0.996], [0.419, 0.837, 0.496], [0.217, 0.434, 0.144], [0.953, 0.906, 0.827], [0.783, 0.566, 0.644], [0.047, 0.094, 0.327]], "space_group": "Cmc2_1 (36)", "energy_ev_per_atom": -4.472, "n_ef_per_ev_cell": 10.5, "delta_e_f_ev_per_atom": -0.114, "total_magnetization_mub_per_fu": 0.0}

---

{"formula": "ErTm5Cu6", "functional": "PBE-GGA", "state": "relaxed", "lattice": [[-4.742, -0.840, 0.616], [0.168, -4.604, -4.985], [-0.820, -5.618, 5.161]], "species": ["Tm", "Tm", "Tm", "Tm", "Tm", "Cu", "Cu", "Cu", "Cu", "Cu", "Cu", "Er"], "fractional_positions": [[0.666, 0.500, 0.667], [0.333, 0.000, 0.334], [0.000, 0.500, 0.000], [0.667, 0.000, 0.666], [0.334, 0.500, 0.333], [0.833, 0.750, 0.334], [0.833, 0.250, 0.334], [0.500, 0.251, 0.000], [0.500, 0.749, 0.000], [0.167, 0.750, 0.666], [0.167, 0.250, 0.666], [0.000, 0.000, 0.000]], "space_group": "Cmmm (65)", "energy_ev_per_atom": -4.585, "n_ef_per_ev_cell": 5.2, "delta_e_f_ev_per_atom": -0.293, "total_magnetization_mub_per_fu": 0.0}

---

{"formula": "ErTm4Cu4", "functional": "PBE-GGA", "state": "relaxed", "lattice": [[-1.302, -5.062, -2.259], [6.590, 0.776, -5.537], [5.231, -3.880, 5.681]], "species": ["Er", "Er", "Tm", "Tm", "Tm", "Tm", "Tm", "Tm", "Tm", "Tm", "Cu", "Cu", "Cu", "Cu", "Cu", "Cu", "Cu", "Cu"], "fractional_positions": [[0.000, 0.000, 0.000], [0.500, 0.500, 0.500], [0.402, 0.313, 0.913], [0.902, 0.587, 0.813], [0.402, 0.687, 0.087], [0.098, 0.187, 0.587], [0.598, 0.913, 0.687], [0.098, 0.813, 0.413], [0.902, 0.413, 0.187], [0.598, 0.087, 0.313], [0.614, 0.775, 0.368], [0.614, 0.225, 0.632], [0.114, 0.868, 0.725], [0.886, 0.275, 0.868], [0.886, 0.725, 0.132], [0.386, 0.368, 0.225], [0.386, 0.632, 0.775], [0.114, 0.132, 0.275]], "space_group": "P4_2/n (86)", "energy_ev_per_atom": -4.367, "n_ef_per_ev_cell": 22.1, "delta_e_f_ev_per_atom": -0.053, "total_magnetization_mub_per_fu": 0.0}

---

{"formula": "ErTm3Cu2", "functional": "PBE-GGA", "state": "relaxed", "lattice": [[-1.064, 2.365, -4.080], [0.084, -5.883, -3.432], [-8.365, -1.040, 1.579]], "species": ["Er", "Er", "Tm", "Tm", "Tm", "Tm", "Tm", "Tm", "Cu", "Cu", "Cu", "Cu"], "fractional_positions": [[0.500, 0.516, 0.575], [0.500, 0.016, 0.425], [0.000, 0.484, 0.926], [0.000, 0.984, 0.074], [0.500, 0.644, 0.167], [0.500, 0.144, 0.833], [0.000, 0.356, 0.332], [0.000, 0.856, 0.668], [0.500, 0.741, 0.850], [0.500, 0.241, 0.150], [0.000, 0.259, 0.651], [0.000, 0.759, 0.349]], "space_group": "Pmc2_1 (26)", "energy_ev_per_atom": -4.550, "n_ef_per_ev_cell": 12.1, "delta_e_f_ev_per_atom": -0.189, "total_magnetization_mub_per_fu": 0.0}

---

{"formula": "Er3Tm2Cu2", "functional": "PBE-GGA", "state": "relaxed", "lattice": [[-1.376, -1.782, 2.767], [-0.937, -3.707, -5.154], [8.084, -0.530, 3.679]], "species": ["Er", "Er", "Er", "Tm", "Tm", "Cu", "Cu"], "fractional_positions": [[0.500, 0.000, 0.000], [0.614, 0.228, 0.443], [0.386, 0.772, 0.557], [0.845, 0.690, 0.186], [0.155, 0.310, 0.814], [0.827, 0.655, 0.771], [0.173, 0.345, 0.229]], "space_group": "C2/m (12)", "energy_ev_per_atom": -4.535, "n_ef_per_ev_cell": 9.2, "delta_e_f_ev_per_atom": -0.131, "total_magnetization_mub_per_fu": 0.0}

---

{"formula": "ErUCu", "functional": "PBE-GGA", "state": "relaxed", "lattice": [[-0.540, -2.845, 2.967], [5.427, -0.126, 0.867], [-2.084, 4.265, 3.709]], "species": ["U", "U", "Cu", "Cu", "Er", "Er"], "fractional_positions": [[0.250, 0.035, 0.131], [0.750, 0.965, 0.869], [0.250, 0.883, 0.548], [0.750, 0.117, 0.452], [0.250, 0.436, 0.743], [0.750, 0.564, 0.257]], "space_group": "P2_1/m (11)", "energy_ev_per_atom": -6.626, "n_ef_per_ev_cell": 10.7, "delta_e_f_ev_per_atom": 0.023, "total_magnetization_mub_per_fu": 1.0}

---

{"formula": "ErVCu4", "functional": "PBE-GGA", "state": "relaxed", "lattice": [[5.040, 0.000, 0.000], [2.520, 4.364, 0.000], [2.520, 1.455, 4.115]], "species": ["V", "Cu", "Cu", "Cu", "Cu", "Er"], "fractional_positions": [[0.250, 0.250, 0.250], [0.624, 0.624, 0.128], [0.624, 0.128, 0.624], [0.624, 0.624, 0.624], [0.128, 0.624, 0.624], [0.000, 0.000, 0.000]], "space_group": "F-43m (216)", "energy_ev_per_atom": -5.004, "n_ef_per_ev_cell": 8.7, "delta_e_f_ev_per_atom": 0.007, "total_magnetization_mub_per_fu": 3.7}

---

{"formula": "Er2VCu", "functional": "PBE-GGA", "state": "relaxed", "lattice": [[-1.156, -3.320, 0.313], [3.315, -1.180, -0.268], [0.691, 0.399, 6.780]], "species": ["V", "Cu", "Er", "Er"], "fractional_positions": [[0.500, 0.500, 0.000], [0.500, 0.500, 0.500], [0.000, 0.000, 0.747], [0.000, 0.000, 0.253]], "space_group": "P4/mmm (123)", "energy_ev_per_atom": -5.524, "n_ef_per_ev_cell": 2.5, "delta_e_f_ev_per_atom": 0.061, "total_magnetization_mub_per_fu": 3.0}

---

{"formula": "YEr2Cu", "functional": "PBE-GGA", "state": "relaxed", "lattice": [[-3.238, -0.780, 1.461], [-0.872, -3.450, 0.754], [2.357, -0.431, 9.525]], "species": ["Y", "Er", "Er", "Cu"], "fractional_positions": [[0.501, 0.501, 0.498], [0.067, 0.067, 0.799], [0.266, 0.266, 0.201], [0.666, 0.666, 0.002]], "space_group": "R3m (160)", "energy_ev_per_atom": -4.903, "n_ef_per_ev_cell": 5.8, "delta_e_f_ev_per_atom": 0.019, "total_magnetization_mub_per_fu": 0.0}

---

{"formula": "YEr2Cu9", "functional": "PBE-GGA", "state": "relaxed", "lattice": [[-4.694, 1.055, -1.820], [0.673, -3.924, 3.257], [-2.683, 10.183, 12.825]], "species": ["Y", "Y", "Er", "Er", "Er", "Er", "Cu", "Cu", "Cu", "Cu", "Cu", "Cu", "Cu", "Cu", "Cu", "Cu", "Cu", "Cu", "Cu", "Cu", "Cu", "Cu", "Cu", "Cu"], "fractional_positions": [[0.333, 0.667, 0.750], [0.667, 0.333, 0.250], [0.333, 0.667, 0.540], [0.667, 0.333, 0.040], [0.667, 0.333, 0.460], [0.333, 0.667, 0.960], [0.000, 0.000, 0.000], [0.000, 0.000, 0.500], [0.000, 0.000, 0.250], [0.000, 0.000, 0.750], [0.333, 0.667, 0.250], [0.667, 0.333, 0.750], [0.167, 0.335, 0.126], [0.665, 0.833, 0.126], [0.167, 0.833, 0.126], [0.833, 0.665, 0.626], [0.335, 0.167, 0.626], [0.833, 0.167, 0.626], [0.335, 0.167, 0.874], [0.833, 0.665, 0.874], [0.833, 0.167, 0.874], [0.665, 0.833, 0.374], [0.167, 0.335, 0.374], [0.167, 0.833, 0.374]], "space_group": "P6_3/mmc (194)", "energy_ev_per_atom": -4.585, "n_ef_per_ev_cell": 18.1, "delta_e_f_ev_per_atom": -0.214, "total_magnetization_mub_per_fu": 0.0}

---

{"formula": "YEr2Cu", "functional": "PBE-GGA", "state": "relaxed", "lattice": [[3.462, 0.000, 0.000], [0.000, 3.462, 0.000], [0.000, 0.000, 8.691]], "species": ["Y", "Cu", "Er", "Er"], "fractional_positions": [[0.500, 0.500, 0.500], [0.500, 0.500, 0.000], [0.000, 0.000, 0.804], [0.000, 0.000, 0.196]], "space_group": "P4/mmm (123)", "energy_ev_per_atom": -5.030, "n_ef_per_ev_cell": 5.1, "delta_e_f_ev_per_atom": -0.109, "total_magnetization_mub_per_fu": 0.0}

---

{"formula": "YErCu", "functional": "PBE-GGA", "state": "relaxed", "lattice": [[3.470, 0.000, 0.000], [0.000, 3.470, 0.000], [-1.735, -1.735, 6.148]], "species": ["Y", "Cu", "Er"], "fractional_positions": [[0.026, 0.026, 0.052], [0.671, 0.671, 0.342], [0.303, 0.303, 0.606]], "space_group": "I4mm (107)", "energy_ev_per_atom": -5.178, "n_ef_per_ev_cell": 4.0, "delta_e_f_ev_per_atom": -0.137, "total_magnetization_mub_per_fu": 0.4}